# 1
VASP calculation (PBE-GGA) on an optimized crystal structure of Y2OsPb.

Summary:
calculated formation energy	-0.169	eV/atom

abc: 6.7380 6.7380 6.7380
angles: 150.52 137.75 52.35
Element x y z (fractional)
Y 0.0000 0.0000 0.0000
Y 0.7044 0.2044 0.5000
Os 0.1950 0.6950 0.5000
Pb 0.3901 0.3901 0.0000



# 2
VASP calculation (PBE-GGA) on an optimized crystal structure of ScAgS2N.

Summary:
formation energy without anion corrections	31.5	kJ per mole of atoms
excess energy over the best structure of this formula in the dataset	100.3	meV per atom

abc: 4.5058 4.5058 4.0325
angles: 90.00 90.00 90.00
Element x y z (fractional)
Sc 0.0000 0.0000 0.0000
Ag 0.5000 0.5000 0.0000
S 0.0000 0.5000 0.5000
S 0.5000 0.0000 0.5000
N 0.5000 0.5000 0.5000



# 3
VASP calculation (PBE-GGA) on an optimized crystal structure of Rb2Ba2Ge.

Summary:
calculated formation energy	0.038	eV/atom

abc: 8.9414 8.9414 7.8255
angles: 90.00 90.00 90.00
Element x y z (fractional)
Rb 0.1800 0.3200 0.0000
Rb 0.3200 0.8200 0.0000
Rb 0.6800 0.1800 0.0000
Rb 0.8200 0.6800 0.0000
Ba 0.1753 0.6753 0.5000
Ba 0.3247 0.1753 0.5000
Ba 0.6753 0.8247 0.5000
Ba 0.8247 0.3247 0.5000
Ge 0.0000 0.0000 0.5000
Ge 0.5000 0.5000 0.5000



# 4
VASP calculation (PBE-GGA) on an optimized crystal structure of Cs3RePt.

Summary:
calculated formation energy	1.300	eV/atom
excess energy over the best structure of this formula in the dataset	0.0	meV per atom

abc: 6.5844 6.5844 6.5844
angles: 90.00 90.00 90.00
Element x y z (fractional)
Cs 0.0000 0.0000 0.5000
Cs 0.0000 0.5000 0.0000
Cs 0.5000 0.0000 0.0000
Re 0.5000 0.5000 0.5000
Pt 0.0000 0.0000 0.0000



# 5
VASP calculation (PBE-GGA) on an optimized crystal structure of RuWCl4.

Summary:
formation energy without anion corrections	169.3	kJ per mole of atoms

abc: 5.6055 5.6055 5.6055
angles: 60.00 60.00 60.00
Element x y z (fractional)
Ru 0.0000 0.0000 0.0000
W 0.7500 0.7500 0.7500
Cl 0.3750 0.3750 0.3750
Cl 0.3750 0.3750 0.8751
Cl 0.3750 0.8751 0.3750
Cl 0.8751 0.3750 0.3750



# 6
VASP calculation (PBE-GGA) on an optimized crystal structure of Tl2Cu2Se3.

Summary:
formation energy without anion corrections	-21.0	kJ per mole of atoms
excess energy over the best structure of this formula in the dataset	5.1	meV per atom

abc: 6.6396 6.6396 7.7445
angles: 115.41 115.41 34.80
Element x y z (fractional)
Tl 0.0712 0.0712 0.3346
Tl 0.9288 0.9288 0.6654
Cu 0.2895 0.2895 0.9255
Cu 0.7105 0.7105 0.0745
Se 0.3064 0.3064 0.2571
Se 0.5000 0.5000 0.0000
Se 0.6936 0.6936 0.7429



# 7
VASP calculation (PBE-GGA) on an optimized crystal structure of Pm3Sn2Pd4.

Summary:
calculated formation energy	-0.815	eV/atom

abc: 5.5417 5.5417 9.0078
angles: 94.50 94.50 48.85
Element x y z (fractional)
Pm 0.0000 0.0000 0.0000
Pm 0.3726 0.3726 0.6129
Pm 0.6274 0.6274 0.3871
Sn 0.3261 0.3261 0.2179
Sn 0.6739 0.6739 0.7821
Pd 0.0811 0.0811 0.6295
Pd 0.2818 0.2818 0.9117
Pd 0.7182 0.7182 0.0883
Pd 0.9189 0.9189 0.3705



# 8
VASP calculation (PBE-GGA) on an optimized crystal structure of AcMg2Ag.

Summary:
calculated formation energy	0.000	eV/atom
excess energy over the best structure of this formula in the dataset	227.5	meV per atom

abc: 5.3019 5.3019 5.3019
angles: 60.00 60.00 60.00
Element x y z (fractional)
Ac 0.0000 0.0000 0.0000
Mg 0.2500 0.2500 0.2500
Mg 0.7500 0.7500 0.7500
Ag 0.5000 0.5000 0.5000



Per-record total moment, μB per atom: 0.00; 0.00; 0.00; 0.80; 0.30; 0.00; 0.00; 0.00